(1)
! RbTl2NiOs, optimized geometry, DFT PBE; values from VASP
! - calculated density (g/cm3) = 7.0
! - Fermi-level density of states (states/eV/cell) = 5.8
! - energy relative to the elements (kJ per mole of atoms) = 225.61
! - symmetry = No. 123
&SYSTEM
  ibrav = 0, nat = 5, ntyp = 4
/
ATOMIC_SPECIES
Ni 58.69 Ni.upf
Tl 204.38 Tl.upf
Os 190.23 Os.upf
Rb 85.47 Rb.upf
ATOMIC_POSITIONS crystal
Ni 0.0000 0.5000 0.0000
Tl 0.0000 0.0000 0.5000
Tl 0.5000 0.0000 0.0000
Os 0.5000 0.5000 0.5000
Rb 0.0000 0.0000 0.0000
CELL_PARAMETERS angstrom
6.0788 0.0000 0.0000
0.0000 4.7478 0.0000
0.0000 0.0000 6.0788

=====

(2)
! PmEr5, optimized geometry, DFT PBE; values from VASP
! - calculated density (g/cm3) = 8.7
! - Fermi-level density of states (states/eV/cell) = 8.2
! - energy relative to the elements (kJ per mole of atoms) = 2.11
! - symmetry = No. 12
&SYSTEM
  ibrav = 0, nat = 6, ntyp = 2
/
ATOMIC_SPECIES
Pm 145.00 Pm.upf
Er 167.26 Er.upf
ATOMIC_POSITIONS crystal
Pm 0.6945 0.3890 0.8889
Er 0.0281 0.0561 0.0566
Er 0.6944 0.3888 0.3889
Er 0.3608 0.7217 0.7211
Er 0.3621 0.7242 0.2237
Er 0.0267 0.0535 0.5541
CELL_PARAMETERS angstrom
4.9838 0.0000 0.0000
-2.4919 5.2840 -1.7944
0.0000 0.0460 7.0602

=====

(3)
! KBaNa2, optimized geometry, DFT PBE; values from VASP
! - calculated density (g/cm3) = 1.8
! - E above lowest polymorph (eV per atom) = 0.0337
! - Fermi-level density of states (states/eV/cell) = 3.0
! - energy relative to the elements (kJ per mole of atoms) = 4.47
! - symmetry = No. 225
&SYSTEM
  ibrav = 0, nat = 4, ntyp = 3
/
ATOMIC_SPECIES
Na 22.99 Na.upf
K 39.10 K.upf
Ba 137.33 Ba.upf
ATOMIC_POSITIONS crystal
Na 0.2500 0.2500 0.2500
Na 0.7500 0.7500 0.7500
K 0.0000 0.0000 0.0000
Ba 0.5000 0.5000 0.5000
CELL_PARAMETERS angstrom
0.0000 4.6959 4.6959
4.6959 0.0000 4.6959
4.6959 4.6959 0.0000

=====

(4)
! CdSn2Au, optimized geometry, DFT PBE; values from VASP
! - calculated density (g/cm3) = 9.6
! - Fermi-level density of states (states/eV/cell) = 2.0
! - energy relative to the elements (kJ per mole of atoms) = 1.54
! - symmetry = No. 123
&SYSTEM
  ibrav = 0, nat = 4, ntyp = 3
/
ATOMIC_SPECIES
Au 196.97 Au.upf
Sn 118.71 Sn.upf
Cd 112.41 Cd.upf
ATOMIC_POSITIONS crystal
Au 0.5000 0.0000 0.0000
Sn 0.0000 0.0000 0.5000
Sn 0.0000 0.5000 0.0000
Cd 0.5000 0.5000 0.5000
CELL_PARAMETERS angstrom
-3.6462 -1.0584 -2.3397
1.7312 -4.1937 -0.8009
-2.0101 -1.5630 3.8396

=====

(5)
! LaCoAg2, optimized geometry, DFT PBE; values from VASP
! - calculated density (g/cm3) = 7.8
! - Fermi-level density of states (states/eV/cell) = 2.8
! - energy relative to the elements (kJ per mole of atoms) = 6.57
! - symmetry = No. 65
&SYSTEM
  ibrav = 0, nat = 4, ntyp = 3
/
ATOMIC_SPECIES
Ag 107.87 Ag.upf
Co 58.93 Co.upf
La 138.91 La.upf
ATOMIC_POSITIONS crystal
Ag 0.0000 0.0762 0.0766
Ag 0.0000 0.4238 0.4234
Co 0.5000 0.2500 0.2500
La 0.5000 0.7500 0.7500
CELL_PARAMETERS angstrom
4.4470 0.0000 0.0000
0.0000 4.6783 -0.0443
0.0000 2.0404 4.2012

=====

(6)
! Ho4ErSn2, optimized geometry, DFT PBE; values from VASP
! - calculated density (g/cm3) = 7.7
! - Fermi-level density of states (states/eV/cell) = 8.0
! - energy relative to the elements (kJ per mole of atoms) = 38.10
! - symmetry = No. 139
&SYSTEM
  ibrav = 0, nat = 7, ntyp = 3
/
ATOMIC_SPECIES
Ho 164.93 Ho.upf
Er 167.26 Er.upf
Sn 118.71 Sn.upf
ATOMIC_POSITIONS crystal
Ho 0.8149 0.8149 0.6298
Ho 0.1851 0.1851 0.3702
Ho 0.0000 0.5000 0.0000
Ho 0.5000 0.0000 0.0000
Er 0.0000 0.0000 0.0000
Sn 0.6290 0.6290 0.2581
Sn 0.3710 0.3710 0.7419
CELL_PARAMETERS angstrom
5.2857 0.0000 0.0000
0.0000 5.2857 0.0000
-2.6429 -2.6429 8.1800